1.
Below is a geometry-optimized CsK2CaCd structure, with properties calculated at the GGA-PBE level.

a b c (Å): 7.561 7.561 6.282
angles (deg): 90.00 90.00 90.00
Fractional coordinates of all 5 atoms:
1 Cs 0.000 0.000 0.000
2 K 0.000 0.500 0.500
3 K 0.500 0.000 0.500
4 Ca 0.500 0.500 0.500
5 Cd 0.500 0.500 0.000

Calculated values
**Total energy**: -0.95 eV per atom
**Calculated formation energy**: 23 kJ per mole of atoms
**Total magnetic moment**: 0.00 μB/cell
**Space group**: P4/mmm, No. 123
**E above lowest polymorph**: 176.5 meV/atom

***

2.
Below is a geometry-optimized CsNaCa2Cd structure, with properties calculated at the GGA-PBE level.

a b c (Å): 6.148 6.148 6.441
angles (deg): 90.00 90.00 90.00
Fractional coordinates of all 5 atoms:
1 Cs 0.000 0.000 0.000
2 Na 0.500 0.500 0.000
3 Ca 0.000 0.500 0.500
4 Ca 0.500 0.000 0.500
5 Cd 0.500 0.500 0.500

Calculated values
**Total energy**: -1.35 eV per atom
**Calculated formation energy**: 7 kJ per mole of atoms
**Total magnetic moment**: 0.00 μB/cell
**Space group**: P4/mmm, No. 123

***

3.
Below is a geometry-optimized CsCaCd2Ni structure, with properties calculated at the GGA-PBE level.

a b c (Å): 6.233 6.233 5.156
angles (deg): 90.00 90.00 90.00
Fractional coordinates of all 5 atoms:
1 Cs 0.000 0.000 0.000
2 Ca 0.500 0.500 0.500
3 Cd 0.000 0.500 0.500
4 Cd 0.500 0.000 0.500
5 Ni 0.500 0.500 0.000

Calculated values
**Total energy**: -1.63 eV per atom
**Calculated formation energy**: 44 kJ per mole of atoms
**Total magnetic moment**: 0.00 μB/cell
**Space group**: P4/mmm, No. 123
**E above lowest polymorph**: 440.4 meV/atom

***

4.
Below is a geometry-optimized CsCaCd2Ni structure, with properties calculated at the GGA-PBE level.

a b c (Å): 5.362 5.362 5.296
angles (deg): 90.00 90.00 90.00
Fractional coordinates of all 5 atoms:
1 Cs 0.000 0.000 0.000
2 Ca 0.500 0.500 0.000
3 Cd 0.000 0.500 0.500
4 Cd 0.500 0.000 0.500
5 Ni 0.500 0.500 0.500

Calculated values
**Total energy**: -2.07 eV per atom
**Calculated formation energy**: 2 kJ per mole of atoms
**Total magnetic moment**: 0.00 μB/cell
**Space group**: P4/mmm, No. 123
**E above lowest polymorph**: 0.0 meV/atom

***

Copy entry 4 word for word.
Below is a geometry-optimized CsCaCd2Ni structure, with properties calculated at the GGA-PBE level.

a b c (Å): 5.362 5.362 5.296
angles (deg): 90.00 90.00 90.00
Fractional coordinates of all 5 atoms:
1 Cs 0.000 0.000 0.000
2 Ca 0.500 0.500 0.000
3 Cd 0.000 0.500 0.500
4 Cd 0.500 0.000 0.500
5 Ni 0.500 0.500 0.500

Calculated values
**Total energy**: -2.07 eV per atom
**Calculated formation energy**: 2 kJ per mole of atoms
**Total magnetic moment**: 0.00 μB/cell
**Space group**: P4/mmm, No. 123
**E above lowest polymorph**: 0.0 meV/atom